No. 1
# LaTcAs2Br

An optimized crystal structure of LaTcAs2Br (PBEsol, the Alexandria database).

Calculated values
- Total energy: -6.089 eV/atom

a b c (Å): 4.7335 4.7335 5.1638
angles (deg): 90.00 90.00 90.00
Sites, in units of the cell vectors:
As: 0.0000 0.5000 0.0000
As: 0.5000 0.0000 0.0000
Tc: 0.0000 0.0000 0.0000
Br: 0.0000 0.0000 0.5000
La: 0.5000 0.5000 0.5000

---

No. 2
# FeCoMo2

An optimized crystal structure of FeCoMo2 (PBEsol, the Alexandria database).

Calculated values
- Energy above the lowest structure with this stoichiometry: 0.053 eV per atom
- Energy of formation: 115 meV/atom
- Total energy: -9.945 eV/atom

a b c (Å): 2.5708 4.7707 4.4402
angles (deg): 105.60 90.00 105.63
Sites, in units of the cell vectors:
Co: 0.4741 0.9483 0.5350
Fe: 0.7771 0.5542 0.2148
Mo: 0.0192 0.0384 0.0606
Mo: 0.2295 0.4591 0.6895

---

No. 3
# CdP2W

An optimized crystal structure of CdP2W (PBEsol, the Alexandria database).

Calculated values
- Energy above the lowest structure with this stoichiometry: 0.678 eV per atom
- Energy of formation: 607 meV/atom
- Total energy: -6.040 eV/atom

a b c (Å): 3.6669 3.6669 5.3366
angles (deg): 110.09 110.09 90.00
Sites, in units of the cell vectors:
Cd: 0.2500 0.7500 0.5000
P: 0.0000 0.0000 0.0000
P: 0.7500 0.2500 0.5000
W: 0.5000 0.5000 0.0000

---

No. 4
# Tb3AlC

An optimized crystal structure of Tb3AlC (PBEsol, the Alexandria database).

Calculated values
- Energy of formation: -371 meV/atom
- Total energy: -6.124 eV/atom

a b c (Å): 4.8526 4.8526 4.8526
angles (deg): 90.00 90.00 90.00
Sites, in units of the cell vectors:
C: 0.5000 0.5000 0.5000
Tb: 0.0000 0.5000 0.5000
Tb: 0.5000 0.0000 0.5000
Tb: 0.5000 0.5000 0.0000
Al: 0.0000 0.0000 0.0000